Entry 1:
The following is a PBE-GGA calculation of a relaxed KPt2Cl4 crystal, from the Alexandria database.

raw formation energy: -0.12 eV per atom

Structure (CIF):
```
data_KPt2Cl4
_chemical_formula_sum 'K2 Pt4 Cl8'
_symmetry_space_group_name_H-M 'I 4/m m m'
_symmetry_Int_Tables_number 139
_symmetry_space_group_name_Hall '-I 4 2'
_cell_length_a 5.657
_cell_length_b 5.657
_cell_length_c 13.589
_cell_angle_alpha 90.00
_cell_angle_beta 90.00
_cell_angle_gamma 90.00
loop_
_atom_site_label
_atom_site_fract_x
_atom_site_fract_y
_atom_site_fract_z
_atom_site_occupancy
K1 0.000 0.000 0.000 1
Pt1 0.000 0.000 0.412 1
Cl1 0.000 0.000 0.245 1
Cl2 0.000 0.500 0.000 1
```

Entry 2:
The following is a PBE-GGA calculation of a relaxed TbPm3Th crystal, from the Alexandria database.

energy of formation: 193 meV/atom

Structure (CIF):
```
data_TbPm3Th
_chemical_formula_sum 'Tb4 Pm12 Th4'
_symmetry_space_group_name_H-M 'C 1 2/m 1'
_symmetry_Int_Tables_number 12
_cell_length_a 5.477
_cell_length_b 11.338
_cell_length_c 11.087
_cell_angle_alpha 90.00
_cell_angle_beta 90.05
_cell_angle_gamma 90.00
loop_
_symmetry_equiv_pos_as_xyz
'x,y,z'
'-x,-y,-z'
'-x,y,-z'
'x,-y,z'
'x+1/2,y+1/2,z'
'-x+1/2,-y+1/2,-z'
'-x+1/2,y+1/2,-z'
'x+1/2,-y+1/2,z'
loop_
_atom_site_label
_atom_site_fract_x
_atom_site_fract_y
_atom_site_fract_z
_atom_site_occupancy
Tb1 0.000 0.156 0.000 1
Pm1 0.000 0.152 0.305 1
Pm2 0.000 0.500 0.170 1
Th1 0.000 0.364 0.500 1
```

Entry 3:
The following is a PBE-GGA calculation of a relaxed LiDy2Tc crystal, from the Alexandria database.

energy of formation: 242 meV/atom

Structure (CIF):
```
data_LiDy2Tc
_chemical_formula_sum 'Li3 Dy6 Tc3'
_symmetry_space_group_name_H-M 'R -3 m'
_symmetry_Int_Tables_number 166
_symmetry_space_group_name_Hall '-R 3 2"'
_cell_length_a 3.4073
_cell_length_b 3.4073
_cell_length_c 31.5259
_cell_angle_alpha 90.00
_cell_angle_beta 90.00
_cell_angle_gamma 120.00
loop_
_atom_site_label
_atom_site_fract_x
_atom_site_fract_y
_atom_site_fract_z
_atom_site_occupancy
Li1 0.0000 0.0000 0.0000 1
Dy1 0.0000 0.0000 0.1027 1
Tc1 0.0000 0.0000 0.5000 1
```

Entry 4:
The following is a PBE-GGA calculation of a relaxed Sc2Re2Pt crystal, from the Alexandria database.

energy of formation: 490 meV/atom

Structure (CIF):
```
data_Sc2Re2Pt
_chemical_formula_sum 'Sc4 Re4 Pt2'
_symmetry_space_group_name_H-M 'I 4/m m m'
_symmetry_Int_Tables_number 139
_symmetry_space_group_name_Hall '-I 4 2'
_cell_length_a 5.218
_cell_length_b 5.218
_cell_length_c 7.464
_cell_angle_alpha 90.00
_cell_angle_beta 90.00
_cell_angle_gamma 90.00
loop_
_atom_site_label
_atom_site_fract_x
_atom_site_fract_y
_atom_site_fract_z
_atom_site_occupancy
Sc1 0.000 0.500 0.250 1
Re1 0.000 0.000 0.159 1
Pt1 0.000 0.000 0.500 1
```

How do the records compare in total magnetization? In the order shown, they have 2.815, 0.000, 0.000, 0.000 μB/f.u..
How do the records compare in density? In the order shown, they have 4.36, 7.97, 6.76, 10.74 g/cm³.